(1)
VASP calculation (PBE) on La2ZnAgPt after structural relaxation.

Calculated values
Formation energy in eV per atom: -0.63
VASP energy in eV/atom: -4.63

Cell lengths 7.5698, 4.6046, 7.7323 Å; angles 90.00, 110.77, 90.00 degrees
Last column: nearest neighbours and their distance in Å.
Space group P2_1/m (No. 11)
Unique sites:
La 0.0398 0.2500 0.2086 (multiplicity 2)  3 Pt 3.01-3.03, 3 Ag 3.28-3.36
La 0.3538 0.7500 0.6315 (multiplicity 2)  3 Pt 3.02-3.23, 2 Ag 3.24, 1 Zn 3.24
Zn 0.3342 0.2500 0.9528 (multiplicity 2)  1 Pt 2.60, 3 Ag 2.80-2.88
Ag 0.3435 0.7500 0.1620 (multiplicity 2)  3 Zn 2.80-2.88
Pt 0.0913 0.2500 0.6158 (multiplicity 2)  1 Zn 2.60



(2)
VASP calculation (PBE) on RbCrHgTe3 after structural relaxation.

Calculated values
VASP energy in eV/atom: -3.75

Cell lengths 9.3094, 4.1263, 10.8927 Å; angles 90.00, 108.83, 90.00 degrees
Last column: nearest neighbours and their distance in Å.
Space group P2_1/m (No. 11)
Unique sites:
Rb 0.2063 0.2500 0.2682 (multiplicity 2)  7 Te 3.71-4.04, 1 Hg 3.81, 2 Rb 4.13
Cr 0.3562 0.7500 0.8526 (multiplicity 2)  6 Te 2.71-2.79
Hg 0.1049 0.2500 0.5799 (multiplicity 2)  3 Te 2.88-2.94, 2 Hg 2.98
Te 0.1555 0.2500 0.8554 (multiplicity 2)  2 Cr 2.79, 1 Hg 2.88
Te 0.3356 0.7500 0.5982 (multiplicity 2)  1 Cr 2.71, 2 Hg 2.94
Te 0.4370 0.7500 0.1183 (multiplicity 2)  3 Cr 2.75-2.77



(3)
VASP calculation (PBE) on Th5Al after structural relaxation.

Calculated values
Formation energy in eV per atom: -0.03
VASP energy in eV/atom: -6.84

Cell lengths 4.8961, 15.1261, 4.8726 Å; angles 90.00, 90.00, 90.00 degrees
Last column: nearest neighbours and their distance in Å.
Space group Cmmm (No. 65)
Unique sites:
Th 0.0000 0.0000 0.0000 (multiplicity 2)  8 Th 3.44-3.46, 4 Al 3.45
Th 0.0000 0.1607 0.5000 (multiplicity 4)  10 Th 3.44-3.65, 2 Al 3.45
Th 0.0000 0.3388 0.0000 (multiplicity 4)  2 Al 3.45, 10 Th 3.45-3.63
Al 0.0000 0.5000 0.5000 (multiplicity 2)  12 Th 3.45